# 1
Pr8BiAu2 (GGA-PBE, relaxed); space-group type = C2/m (12); size of the total moment = 0.00 μB per cell; ΔE_f = -0.41 eV/atom
1.0
8.9539 -2.5720 0.0000
8.9539 2.5720 0.0000
-3.7235 0.0000 7.5333
Pr Bi Au
8 1 2
direct
0.0472 0.0472 0.2527 Pr
0.1773 0.1773 0.7728 Pr
0.3175 0.3175 0.5329 Pr
0.4066 0.4066 0.0358 Pr
0.5934 0.5934 0.9642 Pr
0.6825 0.6825 0.4671 Pr
0.8227 0.8227 0.2272 Pr
0.9528 0.9528 0.7473 Pr
0.5000 0.5000 0.5000 Bi
0.1949 0.1949 0.1522 Au
0.8051 0.8051 0.8478 Au

=====

# 2
CePr3Ni (GGA-PBE, relaxed); space-group type = Pm-3m (221); size of the total moment = 2.31 μB per cell; ΔE_f = 0.12 eV/atom
1.0
5.5321 0.0000 0.0000
0.0000 5.5321 0.0000
0.0000 0.0000 5.5321
Ce Pr Ni
1 3 1
direct
0.0000 0.0000 0.0000 Ce
0.0000 0.5000 0.5000 Pr
0.5000 0.0000 0.5000 Pr
0.5000 0.5000 0.0000 Pr
0.5000 0.5000 0.5000 Ni

=====

# 3
PrNdAsO (GGA-PBE, relaxed); space-group type = P4/nmm (129); size of the total moment = 0.00 μB per cell; formation energy from raw total energies = -1.80 eV per atom
1.0
4.4489 0.0000 0.0000
0.0000 4.4489 0.0000
0.0000 0.0000 9.4484
Pr Nd As O
2 2 2 2
direct
0.2500 0.7500 0.0000 Pr
0.7500 0.2500 0.0000 Pr
0.2500 0.2500 0.3976 Nd
0.7500 0.7500 0.6024 Nd
0.2500 0.2500 0.7880 As
0.7500 0.7500 0.2120 As
0.2500 0.7500 0.5000 O
0.7500 0.2500 0.5000 O

=====

# 4
BaMnRh (GGA-PBE, relaxed); space-group type = Imma (74); size of the total moment = 7.87 μB per cell; ΔE_f = 0.13 eV/atom
1.0
-2.9101 2.9731 3.7987
2.9101 -2.9731 3.7987
2.9101 2.9731 -3.7987
Ba Mn Rh
2 2 2
direct
0.3843 0.1343 0.2500 Ba
0.6157 0.8657 0.7500 Ba
0.0000 0.0000 0.5000 Mn
0.0000 0.5000 0.0000 Mn
0.0000 0.5000 0.5000 Rh
0.5000 0.5000 0.0000 Rh

=====

# 5
ScPI3 (GGA-PBE, relaxed); space-group type = Pm-3m (221); polymorph energy (0 for the lowest one) = 2.17 eV/f.u.; size of the total moment = 1.52 μB per cell; formation energy from raw total energies = 0.28 eV per atom
1.0
5.5317 0.0000 0.0000
0.0000 5.5317 0.0000
0.0000 0.0000 5.5317
Sc P I
1 1 3
direct
0.0000 0.0000 0.0000 Sc
0.5000 0.5000 0.5000 P
0.0000 0.5000 0.5000 I
0.5000 0.0000 0.5000 I
0.5000 0.5000 0.0000 I

=====

# 6
K2HfCoPd (GGA-PBE, relaxed); space-group type = P4/mmm (123); size of the total moment = 0.00 μB per cell; ΔE_f = 1.32 eV/atom
1.0
6.6391 0.0000 0.0000
0.0000 6.6391 0.0000
0.0000 0.0000 4.3261
K Hf Co Pd
2 1 1 1
direct
0.0000 0.5000 0.0000 K
0.5000 0.0000 0.0000 K
0.0000 0.0000 0.0000 Hf
0.0000 0.0000 0.5000 Co
0.5000 0.5000 0.5000 Pd

=====

# 7
LaB2Os (GGA-PBE, relaxed); space-group type = Pnma (62); polymorph energy (0 for the lowest one) = 0.00 eV/f.u.; size of the total moment = 0.00 μB per cell; ΔE_f = -0.30 eV/atom
1.0
7.1258 0.0000 0.0000
0.0000 4.0387 0.0000
0.0000 0.0000 8.6285
La B Os
4 8 4
direct
0.0030 0.2500 0.1727 La
0.4970 0.7500 0.6727 La
0.5030 0.2500 0.3273 La
0.9970 0.7500 0.8273 La
0.1771 0.7500 0.4289 B
0.2401 0.2500 0.7435 B
0.2599 0.7500 0.2435 B
0.3229 0.2500 0.9289 B
0.6771 0.7500 0.0711 B
0.7401 0.2500 0.7565 B
0.7599 0.7500 0.2565 B
0.8229 0.2500 0.5711 B
0.1302 0.2500 0.5399 Os
0.3698 0.7500 0.0399 Os
0.6302 0.2500 0.9601 Os
0.8698 0.7500 0.4601 Os

=====

# 8
Tb4ThZn (GGA-PBE, relaxed); space-group type = P4/mmm (123); size of the total moment = 0.00 μB per cell; ΔE_f = -0.10 eV/atom
1.0
3.5915 0.0000 0.0000
0.0000 3.5915 0.0000
0.0000 0.0000 13.6065
Tb Th Zn
4 1 1
direct
0.0000 0.0000 0.1287 Tb
0.0000 0.0000 0.8713 Tb
0.5000 0.5000 0.3224 Tb
0.5000 0.5000 0.6776 Tb
0.0000 0.0000 0.5000 Th
0.5000 0.5000 0.0000 Zn

=====

# 9
TmBi3 (GGA-PBE, relaxed); space-group type = Imm2 (44); size of the total moment = 0.00 μB per cell; ΔE_f = -0.27 eV/atom
1.0
-2.0182 5.2788 2.8275
2.0182 -5.2788 2.8275
2.0182 5.2788 -2.8275
Tm Bi
1 3
direct
0.0000 0.0000 0.0000 Tm
0.3964 0.6597 0.7367 Bi
0.5250 0.0250 0.5000 Bi
0.9230 0.6597 0.2633 Bi

=====

# 10
Al6ZnRu5 (GGA-PBE, relaxed); space-group type = Immm (71); size of the total moment = 0.00 μB per cell; ΔE_f = -0.65 eV/atom
1.0
-2.1175 3.0918 6.2875
2.1175 -3.0918 6.2875
2.1175 3.0918 -6.2875
Al Zn Ru
6 1 5
direct
0.0620 0.3261 0.7359 Al
0.2217 0.0000 0.2217 Al
0.4098 0.6739 0.7359 Al
0.5902 0.3261 0.2641 Al
0.7783 0.0000 0.7783 Al
0.9380 0.6739 0.2641 Al
0.5000 0.5000 0.0000 Zn
0.0000 0.5000 0.5000 Ru
0.1704 0.1704 0.0000 Ru
0.3504 0.8504 0.5000 Ru
0.6496 0.1496 0.5000 Ru
0.8296 0.8296 0.0000 Ru

=====

# 11
CsNi4Cl7 (GGA-PBE, relaxed); space-group type = Pmn2_1 (31); size of the total moment = 12.00 μB per cell; formation energy from raw total energies = -0.69 eV per atom
1.0
15.5464 0.0000 0.0000
0.0000 6.4138 0.0000
0.0000 0.0000 6.1611
Cs Ni Cl
2 8 14
direct
0.0000 0.1879 0.0000 Cs
0.5000 0.8121 0.5000 Cs
0.1223 0.6715 0.5847 Ni
0.2481 0.1820 0.5783 Ni
0.2519 0.8180 0.0783 Ni
0.3777 0.3285 0.0847 Ni
0.6223 0.3285 0.0847 Ni
0.7481 0.8180 0.0783 Ni
0.7519 0.1820 0.5783 Ni
0.8777 0.6715 0.5847 Ni
0.0000 0.8261 0.4770 Cl
0.1226 0.3323 0.4988 Cl
0.1269 0.6967 0.9499 Cl
0.2385 0.8477 0.4459 Cl
0.2615 0.1523 0.9459 Cl
0.3731 0.3033 0.4499 Cl
0.3774 0.6677 0.9988 Cl
0.5000 0.1739 0.9770 Cl
0.6226 0.6677 0.9988 Cl
0.6269 0.3033 0.4499 Cl
0.7385 0.1523 0.9459 Cl
0.7615 0.8477 0.4459 Cl
0.8731 0.6967 0.9499 Cl
0.8774 0.3323 0.4988 Cl

=====

# 12
RbScAuS2 (GGA-PBE, relaxed); space-group type = P2/c (13); size of the total moment = 0.00 μB per cell; formation energy from raw total energies = -1.11 eV per atom
1.0
7.5406 0.0000 0.0000
0.0000 5.2166 0.0000
-1.5986 0.0000 6.7991
Rb Sc Au S
2 2 2 4
direct
0.0000 0.1774 0.2500 Rb
0.0000 0.8226 0.7500 Rb
0.5000 0.4945 0.7500 Sc
0.5000 0.5055 0.2500 Sc
0.5000 0.0000 0.0000 Au
0.5000 0.0000 0.5000 Au
0.2760 0.3355 0.9468 S
0.2760 0.6645 0.4468 S
0.7240 0.3355 0.5532 S
0.7240 0.6645 0.0532 S